DFT (PBE) results for Tm2PaC2 after structural relaxation.

**ΔE_f**: -380 meV per atom
**Space-group type**: R-3m (166)
**Size of the total moment**: 0.00 μB/f.u.

abc: 3.562 3.562 9.253
angles: 78.90 78.90 60.00
Fractional coordinates of all 5 atoms:
Tm (0.770, 0.770, 0.689)
Tm (0.230, 0.230, 0.311)
C (0.612, 0.612, 0.163)
C (0.388, 0.388, 0.837)
Pa (0.000, 0.000, 0.000)

=====

DFT (PBE) results for TmPa4C5 after structural relaxation.

**ΔE_f**: -442 meV per atom
**Space-group type**: Immm (71)
**Size of the total moment**: 0.00 μB/f.u.

abc: 3.601 5.052 9.500
angles: 105.42 100.93 90.00
Fractional coordinates of all 10 atoms:
C (0.802, 0.302, 0.603)
C (0.604, 0.104, 0.208)
C (0.198, 0.698, 0.397)
C (0.000, 0.500, 0.000)
C (0.396, 0.896, 0.792)
Pa (0.402, 0.402, 0.803)
Pa (0.801, 0.801, 0.602)
Pa (0.598, 0.598, 0.197)
Pa (0.199, 0.199, 0.398)
Tm (0.000, 0.000, 0.000)

=====

DFT (PBE) results for TmPa2C3 after structural relaxation.

**ΔE_f**: -450 meV per atom
**Space-group type**: Immm (71)
**Size of the total moment**: 0.00 μB/f.u.

abc: 3.616 5.053 6.202
angles: 114.04 106.95 90.00
Fractional coordinates of all 6 atoms:
Pa (0.834, 0.834, 0.169)
Pa (0.166, 0.166, 0.831)
C (0.500, 0.000, 0.500)
C (0.177, 0.677, 0.855)
C (0.823, 0.323, 0.145)
Tm (0.500, 0.500, 0.500)

=====

DFT (PBE) results for TmPa3C4 after structural relaxation.

**ΔE_f**: -439 meV per atom
**Space-group type**: Pm-3m (221)
**Size of the total moment**: 0.00 μB/f.u.

abc: 5.061 5.061 5.061
angles: 90.00 90.00 90.00
Fractional coordinates of all 8 atoms:
C (0.000, 0.500, 0.000)
C (0.500, 0.000, 0.000)
C (0.500, 0.500, 0.500)
C (0.000, 0.000, 0.500)
Pa (0.000, 0.500, 0.500)
Pa (0.500, 0.000, 0.500)
Pa (0.500, 0.500, 0.000)
Tm (0.000, 0.000, 0.000)

=====

DFT (PBE) results for TmPaC after structural relaxation.

**ΔE_f**: -231 meV per atom
**Space-group type**: P3m1 (156)
**Size of the total moment**: 0.00 μB/f.u.
**E above lowest polymorph**: 0.000 eV per atom

abc: 6.096 3.452 3.452
angles: 120.00 90.00 90.00
Fractional coordinates of all 3 atoms:
C (0.006, 0.000, 0.000)
Pa (0.225, 0.333, 0.667)
Tm (0.769, 0.667, 0.333)

=====

DFT (PBE) results for Tm2PaC after structural relaxation.

**ΔE_f**: 33 meV per atom
**Space-group type**: R-3m (166)
**Size of the total moment**: 0.00 μB/f.u.

abc: 3.357 3.357 9.640
angles: 79.97 79.97 60.00
Fractional coordinates of all 4 atoms:
C (0.500, 0.500, 0.500)
Pa (0.000, 0.000, 0.000)
Tm (0.119, 0.119, 0.643)
Tm (0.881, 0.881, 0.357)